[1]
## Cs2ZrNiSe4 (PBE)

Data for a relaxed structure of Cs2ZrNiSe4.

Lattice parameters (Å, degrees): 15.142 13.555 7.999 85.12 63.12 31.76
Fractional positions:
Cs 0.052 0.052 0.698
Cs 0.302 0.302 0.948
Cs 0.698 0.698 0.052
Cs 0.948 0.948 0.302
Zr 0.125 0.125 0.125
Zr 0.875 0.875 0.875
Ni 0.375 0.375 0.375
Ni 0.625 0.625 0.625
Se 0.003 0.350 0.435
Se 0.288 0.565 0.650
Se 0.350 0.003 0.712
Se 0.435 0.712 0.003
Se 0.565 0.288 0.997
Se 0.650 0.997 0.288
Se 0.712 0.435 0.350
Se 0.997 0.650 0.565

Calculated values
Final energy ... -4.784 eV/atom
Formation energy without anion corrections ... -1037 meV/atom

=====

[2]
## CaTbBi2 (PBE)

Data for a relaxed structure of CaTbBi2.

Lattice parameters (Å, degrees): 4.145 4.145 7.078 90.00 90.00 90.00
Fractional positions:
Ca 0.000 0.000 0.000
Tb 0.000 0.000 0.500
Bi 0.500 0.500 0.260
Bi 0.500 0.500 0.740

Calculated values
Energy of formation ... -2.66 eV/f.u.
Polymorph energy (0 for the lowest one) ... 78 meV per atom
Final energy ... -4.264 eV/atom